[1]
This record from OQMD describes a relaxed structure of ScSnAu2. The functional is GGA-PBE.

a b c (Å): 6.830 6.830 6.830
angles (deg): 90.00 90.00 90.00
Space group F-43m (No. 216)
Symmetry-distinct sites (fractional):
Sc (0.000, 0.000, 0.000) [4 per cell]
Sn (0.250, 0.250, 0.750) [4 per cell]
Au (0.000, 0.000, 0.500) [4 per cell]
Au (0.250, 0.250, 0.250) [4 per cell]

- VASP energy: -4.6559 eV per atom
- Spin magnetization: 0.0005 μB/atom

---

[2]
This record from OQMD describes a relaxed structure of ThPa. The functional is GGA-PBE.

a b c (Å): 6.669 6.669 6.669
angles (deg): 90.00 90.00 90.00
Space group F-43m (No. 216)
Symmetry-distinct sites (fractional):
Th (0.000, 0.000, 0.000) [4 per cell]
Pa (0.250, 0.250, 0.250) [4 per cell]

- VASP energy: -6.4423 eV per atom
- Energy of formation from the pure elements: 2012.1 meV per atom
- Spin magnetization: 0.0290 μB/atom

---

[3]
This record from OQMD describes a relaxed structure of GdHoNi2Br2. The functional is GGA-PBE.

a b c (Å): 3.9675 3.9675 11.0800
angles (deg): 90.00 90.00 120.00
Space group P3m1 (No. 156)
Symmetry-distinct sites (fractional):
Gd (0.0000, 0.0000, 0.0000) [1 per cell]
Ho (0.0000, 0.0000, 0.3308) [1 per cell]
Ni (0.3333, 0.6667, 0.1566) [1 per cell]
Ni (0.6667, 0.3333, 0.1789) [1 per cell]
Br (0.3333, 0.6667, 0.5020) [1 per cell]
Br (0.6667, 0.3333, 0.8256) [1 per cell]

- VASP energy: -5.0461 eV per atom
- Spin magnetization: 0.0177 μB/atom

---

[4]
This record from OQMD describes a relaxed structure of YNpIr. The functional is GGA-PBE.

a b c (Å): 6.670 6.670 6.670
angles (deg): 90.00 90.00 90.00
Space group F-43m (No. 216)
Symmetry-distinct sites (fractional):
Y (0.000, 0.000, 0.000) [4 per cell]
Np (0.000, 0.000, 0.500) [4 per cell]
Ir (0.250, 0.250, 0.250) [4 per cell]

- VASP energy: -9.5683 eV per atom
- Energy of formation from the pure elements: -205.0 meV per atom
- Spin magnetization: 1.5427 μB/atom

---

[5]
This record from OQMD describes a relaxed structure of ScCuHgBi. The functional is GGA-PBE.

a b c (Å): 7.093 7.093 7.093
angles (deg): 90.00 90.00 90.00
Space group F-43m (No. 216)
Symmetry-distinct sites (fractional):
Sc (0.000, 0.000, 0.000) [4 per cell]
Cu (0.250, 0.250, 0.250) [4 per cell]
Hg (0.250, 0.250, 0.750) [4 per cell]
Bi (0.000, 0.000, 0.500) [4 per cell]

- VASP energy: -3.5982 eV per atom
- Spin magnetization: 0.0055 μB/atom

---

[6]
This record from OQMD describes a relaxed structure of TaGaAu. The functional is GGA-PBE.

a b c (Å): 6.268 6.268 6.268
angles (deg): 90.00 90.00 90.00
Space group F-43m (No. 216)
Symmetry-distinct sites (fractional):
Ta (0.000, 0.000, 0.000) [4 per cell]
Ga (0.250, 0.250, 0.250) [4 per cell]
Au (0.250, 0.250, 0.750) [4 per cell]

- VASP energy: -5.6938 eV per atom
- Spin magnetization: 0.0007 μB/atom

---

[7]
This record from OQMD describes a relaxed structure of YLuCoB. The functional is GGA-PBE.

a b c (Å): 6.335 6.335 6.335
angles (deg): 90.00 90.00 90.00
Space group F-43m (No. 216)
Symmetry-distinct sites (fractional):
Y (0.000, 0.000, 0.000) [4 per cell]
Lu (0.250, 0.250, 0.750) [4 per cell]
Co (0.000, 0.000, 0.500) [4 per cell]
B (0.250, 0.250, 0.250) [4 per cell]

- VASP energy: -5.7610 eV per atom
- Spin magnetization: 0.0001 μB/atom

---

[8]
This record from OQMD describes a relaxed structure of Li2Lu2AlInAu2. The functional is GGA-PBE.

a b c (Å): 4.715 4.715 6.680
angles (deg): 90.00 90.00 90.00
Space group P-4m2 (No. 115)
Symmetry-distinct sites (fractional):
Li (0.000, 0.500, 0.242) [2 per cell]
Lu (0.000, 0.000, 0.500) [1 per cell]
Lu (0.500, 0.500, 0.000) [1 per cell]
Al (0.000, 0.000, 0.000) [1 per cell]
In (0.500, 0.500, 0.500) [1 per cell]
Au (0.000, 0.500, 0.766) [2 per cell]

- VASP energy: -3.8493 eV per atom
- Spin magnetization: 0.0002 μB/atom

---

[9]
This record from OQMD describes a relaxed structure of BeNiSnW. The functional is GGA-PBE.

a b c (Å): 6.091 6.091 6.091
angles (deg): 90.00 90.00 90.00
Space group F-43m (No. 216)
Symmetry-distinct sites (fractional):
Be (0.000, 0.000, 0.000) [4 per cell]
Ni (0.000, 0.000, 0.500) [4 per cell]
Sn (0.250, 0.250, 0.250) [4 per cell]
W (0.250, 0.250, 0.750) [4 per cell]

- VASP energy: -6.0853 eV per atom
- Spin magnetization: 0.3957 μB/atom

---

[10]
This record from OQMD describes a relaxed structure of FeBi2As. The functional is GGA-PBE.

a b c (Å): 7.100 7.100 7.100
angles (deg): 90.00 90.00 90.00
Space group F-43m (No. 216)
Symmetry-distinct sites (fractional):
Fe (0.000, 0.000, 0.000) [4 per cell]
Bi (0.000, 0.000, 0.500) [4 per cell]
Bi (0.250, 0.250, 0.250) [4 per cell]
As (0.250, 0.250, 0.750) [4 per cell]

- VASP energy: -4.6009 eV per atom
- Spin magnetization: 0.6780 μB/atom

---

[11]
This record from OQMD describes a relaxed structure of BaErAuS3. The functional is GGA-PBE.

a b c (Å): 17.689 4.027 8.461
angles (deg): 90.00 100.97 90.00
Space group C2/m (No. 12)
Symmetry-distinct sites (fractional):
Ba (0.134, 0.000, 0.078) [4 per cell]
Er (0.163, 0.000, 0.583) [4 per cell]
Au (0.036, 0.500, 0.717) [4 per cell]
S (0.000, 0.000, 0.500) [2 per cell]
S (0.000, 0.500, 0.000) [2 per cell]
S (0.178, 0.500, 0.374) [4 per cell]
S (0.181, 0.500, 0.809) [4 per cell]

- VASP energy: -5.2127 eV per atom
- Spin magnetization: 0.0005 μB/atom

---

[12]
This record from OQMD describes a relaxed structure of CsRbCdF4. The functional is GGA-PBE.

a b c (Å): 4.361 4.361 13.873
angles (deg): 90.00 90.00 90.00
Space group I4mm (No. 107)
Symmetry-distinct sites (fractional):
Cs (0.000, 0.000, 0.000) [2 per cell]
Rb (0.000, 0.000, 0.295) [2 per cell]
Cd (0.000, 0.000, 0.647) [2 per cell]
F (0.000, 0.000, 0.486) [2 per cell]
F (0.000, 0.000, 0.807) [2 per cell]
F (0.000, 0.500, 0.155) [4 per cell]

- VASP energy: -3.9435 eV per atom

---

[13]
This record from OQMD describes a relaxed structure of AcU. The functional is GGA-PBE.

a b c (Å): 6.888 6.888 6.888
angles (deg): 90.00 90.00 90.00
Space group F-43m (No. 216)
Symmetry-distinct sites (fractional):
Ac (0.000, 0.000, 0.000) [4 per cell]
U (0.250, 0.250, 0.750) [4 per cell]

- VASP energy: -5.2209 eV per atom
- Energy of formation from the pure elements: 2480.4 meV per atom
- Spin magnetization: 1.8325 μB/atom

---

[14]
This record from OQMD describes a relaxed structure of TbHoSn2Os2. The functional is GGA-PBE.

a b c (Å): 4.508 4.508 6.790
angles (deg): 90.00 90.00 90.00
Space group P4mm (No. 99)
Symmetry-distinct sites (fractional):
Tb (0.000, 0.000, 0.000) [1 per cell]
Ho (0.500, 0.500, 0.432) [1 per cell]
Sn (0.000, 0.000, 0.484) [1 per cell]
Sn (0.500, 0.500, 0.943) [1 per cell]
Os (0.000, 0.500, 0.713) [2 per cell]

- VASP energy: -6.9466 eV per atom
- Spin magnetization: 0.0020 μB/atom

---

[15]
This record from OQMD describes a relaxed structure of HgBiNO. The functional is GGA-PBE.

a b c (Å): 3.945 3.945 8.359
angles (deg): 90.00 90.00 90.00
Space group P4/nmm (No. 129, origin choice 2)
Symmetry-distinct sites (fractional):
Hg (0.250, 0.750, 0.000) [2 per cell]
Bi (0.250, 0.250, 0.351) [2 per cell]
N (0.250, 0.250, 0.812) [2 per cell]
O (0.250, 0.750, 0.500) [2 per cell]

- VASP energy: -4.0661 eV per atom

---

[16]
This record from OQMD describes a relaxed structure of MgScAuSeS2. The functional is GGA-PBE.

a b c (Å): 3.824 13.278 10.271
angles (deg): 90.00 90.00 90.00
Space group Cmcm (No. 63)
Symmetry-distinct sites (fractional):
Mg (0.000, 0.194, 0.250) [4 per cell]
Sc (0.000, 0.500, 0.000) [4 per cell]
Au (0.000, 0.148, 0.750) [4 per cell]
Se (0.000, 0.438, 0.750) [4 per cell]
S (0.000, 0.133, 0.523) [8 per cell]

- VASP energy: -4.8980 eV per atom
- Spin magnetization: 0.0013 μB/atom

---

[17]
This record from OQMD describes a relaxed structure of NaHfW. The functional is GGA-PBE.

a b c (Å): 6.326 6.326 6.326
angles (deg): 90.00 90.00 90.00
Space group F-43m (No. 216)
Symmetry-distinct sites (fractional):
Na (0.000, 0.000, 0.000) [4 per cell]
Hf (0.250, 0.250, 0.750) [4 per cell]
W (0.250, 0.250, 0.250) [4 per cell]

- VASP energy: -6.0616 eV per atom
- Spin magnetization: 0.0006 μB/atom

---

[18]
This record from OQMD describes a relaxed structure of SrTaO3. The functional is GGA-PBE.

a b c (Å): 4.031 4.031 4.031
angles (deg): 90.00 90.00 90.00
Space group Pm-3m (No. 221)
Symmetry-distinct sites (fractional):
Sr (0.000, 0.000, 0.000) [1 per cell]
Ta (0.500, 0.500, 0.500) [1 per cell]
O (0.000, 0.500, 0.500) [3 per cell]

- VASP energy: -8.5390 eV per atom
- Spin magnetization: 0.0002 μB/atom

---

[19]
This record from OQMD describes a relaxed structure of Tb2O3. The functional is GGA-PBE.

a b c (Å): 5.326 5.326 5.326
angles (deg): 90.00 90.00 90.00
Space group Pn-3m (No. 224, origin choice 2)
Symmetry-distinct sites (fractional):
Tb (0.000, 0.000, 0.000) [4 per cell]
O (0.250, 0.250, 0.750) [6 per cell]

- VASP energy: -7.9052 eV per atom
- Spin magnetization: 0.0001 μB/atom

---

[20]
This record from OQMD describes a relaxed structure of AlReAsO. The functional is GGA-PBE.

a b c (Å): 3.601 3.601 9.460
angles (deg): 90.00 90.00 90.00
Space group P4/nmm (No. 129, origin choice 2)
Symmetry-distinct sites (fractional):
Al (0.250, 0.250, 0.082) [2 per cell]
Re (0.250, 0.750, 0.500) [2 per cell]
As (0.250, 0.250, 0.701) [2 per cell]
O (0.250, 0.750, 0.000) [2 per cell]

- VASP energy: -7.1981 eV per atom
- Spin magnetization: 0.0071 μB/atom

---

[21]
This record from OQMD describes a relaxed structure of Nd2ErMg3Al2Cd. The functional is GGA-PBE.

a b c (Å): 4.627 12.892 7.590
angles (deg): 90.00 90.00 90.00
Space group Amm2 (No. 38)
Symmetry-distinct sites (fractional):
Nd (0.000, 0.213, 0.000) [4 per cell]
Er (0.000, 0.000, 0.358) [2 per cell]
Mg (0.500, 0.000, 0.028) [2 per cell]
Mg (0.500, 0.123, 0.661) [4 per cell]
Al (0.500, 0.163, 0.287) [4 per cell]
Cd (0.000, 0.000, 0.775) [2 per cell]

- VASP energy: -3.3270 eV per atom
- Spin magnetization: 0.0001 μB/atom

---

[22]
This record from OQMD describes a relaxed structure of Tm2Pt2O5. The functional is GGA-PBE.

a b c (Å): 4.024 4.024 6.856
angles (deg): 90.00 90.00 90.00
Space group P4/mmm (No. 123)
Symmetry-distinct sites (fractional):
Tm (0.000, 0.000, 0.000) [1 per cell]
Tm (0.000, 0.000, 0.500) [1 per cell]
Pt (0.500, 0.500, 0.191) [2 per cell]
O (0.000, 0.500, 0.239) [4 per cell]
O (0.500, 0.500, 0.500) [1 per cell]

- VASP energy: -6.5806 eV per atom
- Spin magnetization: 0.0002 μB/atom

---

[23]
This record from OQMD describes a relaxed structure of PaBeMo. The functional is GGA-PBE.

a b c (Å): 6.171 6.171 6.171
angles (deg): 90.00 90.00 90.00
Space group F-43m (No. 216)
Symmetry-distinct sites (fractional):
Pa (0.000, 0.000, 0.000) [4 per cell]
Be (0.250, 0.250, 0.750) [4 per cell]
Mo (0.250, 0.250, 0.250) [4 per cell]

- VASP energy: -6.8679 eV per atom
- Spin magnetization: 0.0031 μB/atom

---

[24]
This record from OQMD describes a relaxed structure of PmPrNO. The functional is GGA-PBE.

a b c (Å): 4.352 4.352 8.516
angles (deg): 90.00 90.00 90.00
Space group P4/nmm (No. 129, origin choice 2)
Symmetry-distinct sites (fractional):
Pm (0.250, 0.750, 0.000) [2 per cell]
Pr (0.250, 0.250, 0.384) [2 per cell]
N (0.250, 0.250, 0.873) [2 per cell]
O (0.250, 0.750, 0.500) [2 per cell]

- VASP energy: -7.2721 eV per atom
- Spin magnetization: 0.2074 μB/atom

---

[25]
This record from OQMD describes a relaxed structure of BaHoAsO. The functional is GGA-PBE.

a b c (Å): 4.918 4.918 9.908
angles (deg): 90.00 90.00 90.00
Space group P4/nmm (No. 129, origin choice 2)
Symmetry-distinct sites (fractional):
Ba (0.250, 0.250, 0.095) [2 per cell]
Ho (0.250, 0.750, 0.500) [2 per cell]
As (0.250, 0.250, 0.634) [2 per cell]
O (0.250, 0.750, 0.000) [2 per cell]

- VASP energy: -5.5463 eV per atom
- Spin magnetization: 0.0433 μB/atom

---

[26]
This record from OQMD describes a relaxed structure of TmBeTc. The functional is GGA-PBE.

a b c (Å): 6.219 6.219 6.219
angles (deg): 90.00 90.00 90.00
Space group F-43m (No. 216)
Symmetry-distinct sites (fractional):
Tm (0.000, 0.000, 0.000) [4 per cell]
Be (0.250, 0.250, 0.750) [4 per cell]
Tc (0.250, 0.250, 0.250) [4 per cell]

- VASP energy: -4.8770 eV per atom
- Spin magnetization: 0.2944 μB/atom

---

[27]
This record from OQMD describes a relaxed structure of RbPmTe. The functional is GGA-PBE.

a b c (Å): 7.794 7.794 7.794
angles (deg): 90.00 90.00 90.00
Space group F-43m (No. 216)
Symmetry-distinct sites (fractional):
Rb (0.000, 0.000, 0.000) [4 per cell]
Pm (0.000, 0.000, 0.500) [4 per cell]
Te (0.250, 0.250, 0.750) [4 per cell]

- VASP energy: -3.2703 eV per atom
- Spin magnetization: 0.2162 μB/atom

---

[28]
This record from OQMD describes a relaxed structure of ZnSn2Bi. The functional is GGA-PBE.

a b c (Å): 7.523 7.523 7.523
angles (deg): 90.00 90.00 90.00
Space group F-43m (No. 216)
Symmetry-distinct sites (fractional):
Zn (0.000, 0.000, 0.000) [4 per cell]
Sn (0.000, 0.000, 0.500) [4 per cell]
Sn (0.250, 0.250, 0.250) [4 per cell]
Bi (0.250, 0.250, 0.750) [4 per cell]

- VASP energy: -3.1808 eV per atom